# 1
BePC | the Alexandria database | PBE | optimized geometry; space group = Pmm2 (25); formation energy = 0.22 eV per atom; crystal system = orthorhombic; calculated density = 2.47 g cm⁻³
1.0
2.837 0.000 0.000
0.000 4.496 0.000
0.000 0.000 5.489
Be C P
2 2 2
Direct
0.000 0.781 0.674
0.000 0.219 0.674
0.000 0.500 0.892
0.500 0.000 0.590
0.500 0.500 0.082
0.500 0.000 0.268

# 2
Pm12Al4HgN3 | the Alexandria database | PBE | optimized geometry; space group = Im-3m (229); crystal system = cubic; energy relative to the elements, uncorrected = -9.4 eV per formula unit; calculated density = 6.45 g cm⁻³
1.0
-1.172 3.466 8.089
-7.323 1.272 -4.854
1.602 -8.703 0.713
Pm Al N Hg
12 4 3 1
Direct
0.500 0.750 0.250
0.000 0.724 0.724
0.724 0.724 0.000
0.250 0.500 0.750
0.750 0.500 0.250
0.250 0.750 0.500
0.500 0.250 0.750
0.276 0.276 0.000
0.000 0.276 0.276
0.750 0.250 0.500
0.724 0.000 0.724
0.276 0.000 0.276
0.500 0.500 0.500
0.500 0.000 0.000
0.000 0.500 0.000
0.000 0.000 0.500
0.500 0.000 0.500
0.000 0.500 0.500
0.500 0.500 0.000
0.000 0.000 0.000

# 3
Pm2Y6Ho3Er | the Alexandria database | PBE | optimized geometry; space group = C2/m (12); formation energy = 0.02 eV per atom; crystal system = monoclinic; calculated density = 6.41 g cm⁻³
1.0
-3.534 4.681 1.937
-0.850 -5.666 2.308
9.123 2.620 7.046
Pm Er Ho Y
2 1 3 6
Direct
0.667 0.333 0.000
0.333 0.667 0.000
0.000 0.000 0.000
0.166 0.834 0.500
0.834 0.166 0.500
0.500 0.500 0.500
0.583 0.916 0.748
0.752 0.752 0.252
0.248 0.248 0.748
0.084 0.417 0.252
0.417 0.084 0.252
0.916 0.583 0.748

# 4
Y5TeRu2 | the Alexandria database | PBE | optimized geometry; space group = I4/mcm (140); crystal system = tetragonal; energy relative to the elements, uncorrected = -4.6 eV per formula unit; calculated density = 6.29 g cm⁻³
1.0
7.031 0.000 -3.319
-1.567 6.854 -3.319
-0.187 -0.235 8.710
Ru Y Te
4 10 2
Direct
0.642 0.142 0.000
0.358 0.858 0.000
0.142 0.358 0.000
0.858 0.642 0.000
0.789 0.980 0.268
0.289 0.789 0.268
0.480 0.289 0.268
0.211 0.020 0.732
0.711 0.211 0.732
0.020 0.520 0.732
0.500 0.500 0.000
0.980 0.480 0.268
0.000 0.000 0.000
0.520 0.711 0.732
0.750 0.750 0.500
0.250 0.250 0.500

# 5
TbDy2Ho2Sc2 | the Alexandria database | PBE | optimized geometry; space group = C2/m (12); formation energy = 0.11 eV per atom; crystal system = monoclinic; calculated density = 7.19 g cm⁻³
1.0
-0.248 -1.428 -3.090
3.083 -3.708 3.351
-7.251 -7.866 4.216
Sc Tb Ho Dy
2 1 2 2
Direct
0.773 0.547 0.365
0.227 0.453 0.635
0.000 0.000 0.500
0.548 0.097 0.231
0.452 0.903 0.769
0.671 0.341 0.913
0.329 0.659 0.087

# 6
BaZrSi2Se8 | the Alexandria database | PBE | optimized geometry; space group = P-3 (147); crystal system = trigonal; energy relative to the elements, uncorrected = -8.9 eV per formula unit; calculated density = 4.68 g cm⁻³
1.0
-3.405 4.031 3.548
2.080 -5.462 2.504
7.821 4.220 2.710
Se Si Zr Ba
8 2 1 1
Direct
0.346 0.023 0.678
0.323 0.346 0.322
0.667 0.333 0.010
0.654 0.977 0.322
0.333 0.667 0.990
0.977 0.323 0.678
0.677 0.654 0.678
0.023 0.677 0.322
0.333 0.667 0.745
0.667 0.333 0.255
0.000 0.000 0.500
0.000 0.000 0.000

Respective E values: -35.4; -106.6; -66.3; -117.1; -34.9; -58.1 eV/cell.
Respective DOS at the Fermi energy values: 0.276; 0.909; 1.407; 0.827; 1.806; 1.092 states/eV per atom.
Respective magnetization values: 0.000; 0.000; 0.000; 0.000; 0.008; 0.000 μB per formula unit.